# 1
# Gd2Zr2O5

A geometry-optimized Gd2Zr2O5 structure (GGA-PBE, OQMD via LeMat-Bulk).

Results
total magnetization: 0.00 μB/atom
electronic total energy: -8.320 eV/atom
offset from the most stable computed form: 31.6 meV per atom

a b c (Å): 7.3992 4.1301 4.1301
angles (deg): 90.00 90.00 90.00
Last column: nearest neighbours and their distance in Å.
Positions (direct):
Gd: 0.0000 0.0000 0.0000  8 O 2.81
Gd: 0.5000 0.0000 0.0000  12 O 2.73-2.92
O: 0.2583 0.5000 0.0000  2 Zr 2.09
O: 0.7417 0.5000 0.0000  2 Zr 2.09
O: 0.2583 0.0000 0.5000  2 Zr 2.09
O: 0.7417 0.0000 0.5000  2 Zr 2.09
O: 0.5000 0.5000 0.5000  2 Zr 2.10
Zr: 0.2165 0.5000 0.5000  5 O 2.09-2.10
Zr: 0.7835 0.5000 0.5000  5 O 2.09-2.10

# 2
# HoAlOs

A geometry-optimized HoAlOs structure (GGA-PBE, OQMD via LeMat-Bulk).

Results
total magnetization: 0.00 μB/atom
electronic total energy: -6.377 eV/atom

a b c (Å): 4.4275 4.4275 4.4275
angles (deg): 60.00 60.00 60.00
Last column: nearest neighbours and their distance in Å.
Positions (direct):
Al: 0.0000 0.0000 0.0000  4 Ho 2.71, 4 Os 2.71
Ho: 0.2500 0.2500 0.2500  4 Al 2.71
Os: 0.7500 0.7500 0.7500  4 Al 2.71

# 3
# HfZrNiSb

A geometry-optimized HfZrNiSb structure (GGA-PBE, OQMD via LeMat-Bulk).

Results
total magnetization: 0.09 μB/atom
electronic total energy: -6.895 eV/atom

a b c (Å): 4.7866 4.7866 4.7866
angles (deg): 60.00 60.00 60.00
Last column: nearest neighbours and their distance in Å.
Positions (direct):
Hf: 0.2500 0.2500 0.2500  4 Zr 2.93, 4 Sb 2.93
Ni: 0.7500 0.7500 0.7500  4 Zr 2.93, 4 Sb 2.93
Sb: 0.0000 0.0000 0.0000  4 Ni 2.93, 4 Hf 2.93
Zr: 0.5000 0.5000 0.5000  4 Ni 2.93, 4 Hf 2.93

# 4
# PmF

A geometry-optimized PmF structure (GGA-PBE, OQMD via LeMat-Bulk).

Results
total magnetization: 0.00 μB/atom
electronic total energy: -5.366 eV/atom
offset from the most stable computed form: 199.3 meV per atom

a b c (Å): 3.3032 3.3032 3.8016
angles (deg): 90.00 90.00 120.00
Last column: nearest neighbours and their distance in Å.
Positions (direct):
F: 0.6667 0.3333 0.7500  6 Pm 2.69
Pm: 0.3333 0.6667 0.2500  6 F 2.69

# 5
# ZrBPO

A geometry-optimized ZrBPO structure (GGA-PBE, OQMD via LeMat-Bulk).

Results
total magnetization: 0.01 μB/atom
electronic total energy: -7.555 eV/atom
offset from the most stable computed form: 0.0 meV per atom

a b c (Å): 3.2154 6.5873 5.3653
angles (deg): 90.00 90.00 90.00
Last column: nearest neighbours and their distance in Å.
Positions (direct):
B: 0.0000 0.5902 0.4380  1 O 1.35
B: 0.0000 0.4098 0.9380  1 O 1.35
O: 0.0000 0.3845 0.4380  1 B 1.35
O: 0.0000 0.6155 0.9380  1 B 1.35
P: 0.5000 0.7535 0.4388  2 B 1.93
P: 0.5000 0.2465 0.9388  2 B 1.93
Zr: 0.5000 0.1506 0.4392  2 O 2.23
Zr: 0.5000 0.8495 0.9392  2 O 2.23

# 6
# Pr3Mg3CdIn2

A geometry-optimized Pr3Mg3CdIn2 structure (GGA-PBE, OQMD via LeMat-Bulk).

Results
total magnetization: 0.00 μB/atom
electronic total energy: -3.206 eV/atom

a b c (Å): 7.7358 7.7358 4.7928
angles (deg): 90.00 90.00 120.00
Last column: nearest neighbours and their distance in Å.
Positions (direct):
Cd: 0.0000 0.0000 0.0000  6 Mg 3.02, 3 Pr 3.27
In: 0.6667 0.3333 0.5000  3 Mg 3.01, 6 Pr 3.33
In: 0.3333 0.6667 0.5000  3 Mg 3.01, 6 Pr 3.33
Mg: 0.7614 0.0000 0.5000  2 In 3.01, 2 Cd 3.02, 2 Mg 3.20
Mg: 0.2386 0.2386 0.5000  2 In 3.01, 2 Cd 3.02, 2 Mg 3.20
Mg: 0.0000 0.7614 0.5000  2 In 3.01, 2 Cd 3.02, 2 Mg 3.20
Pr: 0.4221 0.0000 0.0000  1 Cd 3.27, 4 In 3.33, 2 Mg 3.55
Pr: 0.0000 0.4221 0.0000  1 Cd 3.27, 4 In 3.33, 2 Mg 3.55
Pr: 0.5779 0.5779 0.0000  1 Cd 3.27, 4 In 3.33, 2 Mg 3.55

# 7
# NbReSi

A geometry-optimized NbReSi structure (GGA-PBE, OQMD via LeMat-Bulk).

Results
total magnetization: 0.00 μB/atom
electronic total energy: -9.584 eV/atom

a b c (Å): 7.1695 7.1695 3.1709
angles (deg): 90.00 90.00 120.00
Last column: nearest neighbours and their distance in Å.
Positions (direct):
Nb: 0.6167 0.0000 0.0000  5 Re 2.74-2.75, 6 Si 2.88-2.93
Nb: 0.3833 0.3833 0.0000  5 Re 2.74-2.75, 6 Si 2.88-2.93
Nb: 0.0000 0.6167 0.0000  5 Re 2.74-2.75, 6 Si 2.88-2.93
Re: 0.0000 0.0000 0.0000  6 Si 2.57, 3 Nb 2.75
Re: 0.6667 0.3333 0.5000  3 Si 2.60, 6 Nb 2.74
Re: 0.3333 0.6667 0.5000  3 Si 2.60, 6 Nb 2.74
Si: 0.2813 0.0000 0.5000  4 Re 2.57-2.60
Si: 0.0000 0.2813 0.5000  4 Re 2.57-2.60
Si: 0.7187 0.7187 0.5000  4 Re 2.57-2.60

# 8
# GdAlPdPt

A geometry-optimized GdAlPdPt structure (GGA-PBE, OQMD via LeMat-Bulk).

Results
total magnetization: 0.00 μB/atom
electronic total energy: -5.979 eV/atom
offset from the most stable computed form: 0.0 meV per atom

a b c (Å): 4.3655 4.3655 9.2788
angles (deg): 90.00 90.00 120.00
Last column: nearest neighbours and their distance in Å.
Positions (direct):
Al: 0.0000 0.0000 0.0074  3 Pt 2.60, 3 Pd 2.65
Al: 0.0000 0.0000 0.5074  3 Pt 2.60, 3 Pd 2.65
Gd: 0.3333 0.6667 0.2476  4 Pd 2.97-3.06, 4 Pt 2.98-3.06
Gd: 0.6667 0.3333 0.7476  4 Pd 2.97-3.06, 4 Pt 2.98-3.06
Pd: 0.6667 0.3333 0.4178  3 Al 2.65, 3 Pt 2.92
Pd: 0.3333 0.6667 0.9178  3 Al 2.65, 3 Pt 2.92
Pt: 0.6667 0.3333 0.0772  3 Al 2.60
Pt: 0.3333 0.6667 0.5772  3 Al 2.60

# 9
# La2PrZn2Cu2Si4

A geometry-optimized La2PrZn2Cu2Si4 structure (GGA-PBE, OQMD via LeMat-Bulk).

Results
total magnetization: 0.00 μB/atom
electronic total energy: -4.809 eV/atom
offset from the most stable computed form: 10.3 meV per atom

a b c (Å): 12.6551 12.6551 12.6551
angles (deg): 160.99 160.80 27.15
Last column: nearest neighbours and their distance in Å.
Positions (direct):
Cu: 0.5940 0.0940 0.5000  3 Si 2.37
Cu: 0.4060 0.9061 0.5000  3 Si 2.37
La: 0.8547 0.3547 0.5000  6 Si 3.17-3.18, 4 Cu 3.23, 4 Zn 3.31-3.33
La: 0.1453 0.6453 0.5000  6 Si 3.17-3.18, 4 Cu 3.23, 4 Zn 3.31-3.33
Pr: 0.0000 0.0000 0.0000  4 Cu 3.13, 8 Si 3.20
Si: 0.4513 0.4513 0.0000  2 Cu 2.37, 1 Si 2.40
Si: 0.5487 0.5487 0.0000  2 Cu 2.37, 1 Si 2.40
Si: 0.6902 0.1902 0.5000  1 Cu 2.37, 4 Zn 2.56-2.57
Si: 0.3098 0.8098 0.5000  1 Cu 2.37, 4 Zn 2.56-2.57
Zn: 0.2498 0.2498 0.0000  4 Si 2.56-2.57
Zn: 0.7502 0.7502 0.0000  4 Si 2.56-2.57

# 10
# LiTe5Ir3

A geometry-optimized LiTe5Ir3 structure (GGA-PBE, OQMD via LeMat-Bulk).

Results
total magnetization: 0.00 μB/atom
electronic total energy: -4.838 eV/atom

a b c (Å): 5.8231 5.8231 7.8143
angles (deg): 90.00 90.00 120.00
Last column: nearest neighbours and their distance in Å.
Positions (direct):
Ir: 0.5000 0.0000 0.5000  6 Te 2.72-2.91, 4 Ir 2.91
Ir: 0.0000 0.5000 0.5000  6 Te 2.72-2.91, 4 Ir 2.91
Ir: 0.5000 0.5000 0.5000  6 Te 2.72-2.91, 4 Ir 2.91
Li: 0.0000 0.0000 0.0000  14 Te 3.80-3.91
Te: 0.6667 0.3333 0.2267  3 Ir 2.72
Te: 0.3333 0.6667 0.2267  3 Ir 2.72
Te: 0.0000 0.0000 0.5000  6 Ir 2.91
Te: 0.6667 0.3333 0.7733  3 Ir 2.72
Te: 0.3333 0.6667 0.7733  3 Ir 2.72

# 11
# Nb2TcW

A geometry-optimized Nb2TcW structure (GGA-PBE, OQMD via LeMat-Bulk).

Results
total magnetization: 0.00 μB/atom
ΔH_f (0 K): -0.1399 eV/atom
electronic total energy: -11.017 eV/atom

a b c (Å): 4.5406 4.5406 4.5406
angles (deg): 60.00 60.00 60.00
Last column: nearest neighbours and their distance in Å.
Positions (direct):
Nb: 0.0000 0.0000 0.0000  4 Tc 2.78, 4 Nb 2.78
Nb: 0.2500 0.2500 0.2500  4 W 2.78, 4 Nb 2.78
Tc: 0.7500 0.7500 0.7500  4 Nb 2.78, 4 W 2.78
W: 0.5000 0.5000 0.5000  4 Nb 2.78, 4 Tc 2.78

# 12
# TmTlZnTe3

A geometry-optimized TmTlZnTe3 structure (GGA-PBE, OQMD via LeMat-Bulk).

Results
total magnetization: 0.00 μB/atom
electronic total energy: -3.606 eV/atom
offset from the most stable computed form: 136.5 meV per atom

a b c (Å): 10.0074 10.0074 9.3108
angles (deg): 101.85 101.85 25.29
Last column: nearest neighbours and their distance in Å.
Positions (direct):
Te: 0.5000 0.5000 0.0000  2 Zn 2.79
Te: 0.3291 0.3291 0.1993  1 Zn 2.65
Te: 0.6700 0.6700 0.3531  3 Tm 3.01
Te: 0.0000 0.0000 0.5000  4 Zn 2.99, 2 Tm 3.29
Te: 0.3300 0.3300 0.6469  3 Tm 3.01
Te: 0.6709 0.6709 0.8007  1 Zn 2.65
Tl: 0.1348 0.1348 0.0676  7 Te 3.38-3.73
Tl: 0.8652 0.8652 0.9324  7 Te 3.38-3.73
Tm: 0.8277 0.8277 0.4247  6 Te 3.01-3.29
Tm: 0.1723 0.1723 0.5753  6 Te 3.01-3.29
Zn: 0.4678 0.4678 0.2779  2 Te 2.65-2.79
Zn: 0.5322 0.5322 0.7221  2 Te 2.65-2.79